Entry 1:
5
Lattice="3.3698 0.0000 0.0000 0.0000 3.3698 0.0000 0.0000 0.0000 3.3698" Properties=species:S:1:pos:R:3 comment="ZnCN3, optimized geometry, DFT PBE" spacegroup=Pm-3m final_energy_ev_per_atom=-4.66 formation_energy_uncorrected_ev_per_atom=2.432 pbc="T T T"
Zn 1.6849 1.6849 1.6849
C 0.0000 0.0000 0.0000
N 0.0000 1.6849 0.0000
N 0.0000 0.0000 1.6849
N 1.6849 0.0000 0.0000

=====

Entry 2:
5
Lattice="3.8931 0.0000 0.0000 0.0000 3.8931 0.0000 0.0000 0.0000 3.8931" Properties=species:S:1:pos:R:3 comment="ZnC3N, optimized geometry, DFT PBE" spacegroup=Pm-3m final_energy_ev_per_atom=-3.44 formation_energy_uncorrected_ev_per_atom=4.013 pbc="T T T"
Zn 0.0000 0.0000 0.0000
C 0.0000 1.9466 0.0000
C 0.0000 0.0000 1.9466
C 1.9466 0.0000 0.0000
N 1.9466 1.9466 1.9466